[1]
Entry from the Alexandria database: a geometry-optimized Sm2Cd7 structure (PBE).

a = 5.0935 Å, b = 5.0935 Å, c = 9.6278 Å
α = 90.00°, β = 90.00°, γ = 120.00°
Last column: nearest neighbours and their distance in Å.
Space group P-3m1 (No. 164)
One atom of each set of equivalent atoms:
Sm  0.3333  0.6667  0.2832 [2 per cell]  8 Cd 3.11-3.39
Cd  0.0000  0.0000  0.1549 [2 per cell]  5 Cd 2.98-3.32, 3 Sm 3.19
Cd  0.0000  0.0000  0.5000 [1 per cell]  8 Cd 3.11-3.32
Cd  0.3333  0.6667  0.6064 [2 per cell]  4 Sm 3.11-3.13, 4 Cd 3.11-3.12
Cd  0.3333  0.6667  0.9307 [2 per cell]  7 Cd 3.05-3.23, 1 Sm 3.39

Calculated values
* formation energy from the elements: -0.234 eV/atom
* theoretical density: 8.35 g/cm3
* crystal system: trigonal
* E_tot: -17.95 eV/cell
* volume: 216.3 Å³/cell
* size of the total moment: 0.0 Bohr magnetons per cell
* ΔE to the lowest computed polymorph: 0.0 meV/atom

[2]
Entry from the Alexandria database: a geometry-optimized Sm2Cd structure (PBE).

a = 3.6975 Å, b = 3.6975 Å, c = 13.1034 Å
α = 90.00°, β = 90.00°, γ = 90.00°
Last column: nearest neighbours and their distance in Å.
Space group I4/mmm (No. 139)
One atom of each set of equivalent atoms:
Sm  0.0000  0.0000  0.1555 [4 per cell]  4 Cd 3.31, 8 Sm 3.60-3.70
Cd  0.0000  0.0000  0.5000 [2 per cell]  8 Sm 3.31, 4 Cd 3.70

Calculated values
* formation energy from the elements: -0.198 eV/atom
* theoretical density: 7.66 g/cm3
* crystal system: tetragonal
* E_tot: -21.89 eV/cell
* volume: 179.1 Å³/cell
* size of the total moment: 0.0 Bohr magnetons per cell

[3]
Entry from the Alexandria database: a geometry-optimized SmCd4 structure (PBE).

a = 4.8912 Å, b = 6.7144 Å, c = 14.9013 Å
α = 90.00°, β = 90.00°, γ = 90.00°
Last column: nearest neighbours and their distance in Å.
Space group Imma (No. 74)
One atom of each set of equivalent atoms:
Sm  0.0000  0.2500  0.1066 [4 per cell]  13 Cd 3.26-3.37
Cd  0.0000  0.0005  0.3025 [8 per cell]  5 Cd 2.90-3.22
Cd  0.0000  0.0000  0.5000 [4 per cell]  2 Cd 2.94
Cd  0.0000  0.2500  0.8861 [4 per cell]  10 Cd 3.22-3.42, 3 Sm 3.29-3.36

Calculated values
* formation energy from the elements: -0.234 eV/atom
* theoretical density: 8.14 g/cm3
* crystal system: orthorhombic
* E_tot: -38.19 eV/cell
* volume: 489.4 Å³/cell
* size of the total moment: 0.0 Bohr magnetons per cell

[4]
Entry from the Alexandria database: a geometry-optimized SmCd11 structure (PBE).

a = 9.4028 Å, b = 9.4028 Å, c = 9.4028 Å
α = 90.00°, β = 90.00°, γ = 90.00°
Last column: nearest neighbours and their distance in Å.
Space group Pm-3m (No. 221)
One atom of each set of equivalent atoms:
Sm  0.0000  0.0000  0.5000 [3 per cell]  20 Cd 3.53-3.84
Cd  0.0000  0.3446  0.3446 [12 per cell]  8 Cd 2.91-2.99
Cd  0.1559  0.1559  0.1559 [8 per cell]  6 Cd 2.91-2.93
Cd  0.2654  0.2654  0.5000 [12 per cell]  9 Cd 2.99-3.12
Cd  0.5000  0.5000  0.5000 [1 per cell]  12 Cd 3.12

Calculated values
* formation energy from the elements: -0.132 eV/atom
* theoretical density: 8.31 g/cm3
* crystal system: cubic
* E_tot: -49.10 eV/cell
* volume: 831.3 Å³/cell
* size of the total moment: 0.0 Bohr magnetons per cell
* ΔE to the lowest computed polymorph: 0.0 meV/atom